Record 1
Compound: Cs4HAuCl2
Source: the Alexandria database
Functional: GGA-PBE
Structure: optimized geometry

Cell lengths 8.646, 4.977, 8.653 Å; angles 90.00, 109.31, 90.00 degrees
Positions (direct):
1 Cs 0.245 0.000 0.238
2 Cs 0.252 0.500 0.765
3 Cs 0.748 0.500 0.235
4 Cs 0.755 0.000 0.762
5 H 0.000 0.500 0.000
6 Au 0.000 0.000 0.500
7 Cl 0.500 0.000 0.000
8 Cl 0.500 0.500 0.500

Calculated values
As for the density of states at the Fermi level: 0.0000 states/eV per atom. Its total energy is -22.43 eV for the cell shown. The calculation puts the total magnetization at 0.01 μB per atom.

***

Record 2
Compound: Cs6H2Au3Cl
Source: the Alexandria database
Functional: GGA-PBE
Structure: optimized geometry

Cell lengths 11.176, 11.176, 10.057 Å; angles 104.30, 104.30, 25.63 degrees
Positions (direct):
1 Cs 0.010 0.010 0.248
2 Cs 0.326 0.326 0.436
3 Cs 0.335 0.335 0.899
4 Cs 0.665 0.665 0.101
5 Cs 0.674 0.674 0.564
6 Cs 0.990 0.990 0.752
7 H 0.170 0.170 0.336
8 H 0.830 0.830 0.664
9 Au 0.164 0.164 0.828
10 Au 0.500 0.500 0.500
11 Au 0.836 0.836 0.172
12 Cl 0.500 0.500 0.000

Calculated values
As for the density of states at the Fermi level: 0.0000 states/eV per atom. Its total energy is -29.83 eV for the cell shown. The calculation puts the total magnetization at 0.01 μB per atom.

***

Record 3
Compound: Cs6H2AuCl3
Source: the Alexandria database
Functional: GGA-PBE
Structure: optimized geometry

Cell lengths 11.015, 11.015, 9.901 Å; angles 103.09, 103.09, 25.79 degrees
Positions (direct):
1 Cs 0.006 0.006 0.263
2 Cs 0.328 0.328 0.426
3 Cs 0.329 0.329 0.902
4 Cs 0.671 0.671 0.098
5 Cs 0.672 0.672 0.574
6 Cs 0.994 0.994 0.737
7 H 0.171 0.171 0.341
8 H 0.829 0.829 0.659
9 Au 0.500 0.500 0.000
10 Cl 0.165 0.165 0.830
11 Cl 0.500 0.500 0.500
12 Cl 0.835 0.835 0.170

Calculated values
As for the density of states at the Fermi level: 0.0000 states/eV per atom. Its total energy is -33.56 eV for the cell shown. The calculation puts the total magnetization at 0.01 μB per atom.

***

Record 4
Compound: Cs6HAu2Cl3
Source: the Alexandria database
Functional: GGA-PBE
Structure: optimized geometry

Cell lengths 8.713, 8.713, 8.723 Å; angles 99.58, 99.58, 119.98 degrees
Positions (direct):
1 Cs 0.085 0.402 0.755
2 Cs 0.229 0.229 0.252
3 Cs 0.402 0.085 0.755
4 Cs 0.598 0.915 0.245
5 Cs 0.771 0.771 0.748
6 Cs 0.915 0.598 0.245
7 H 0.000 0.000 0.500
8 Au 0.333 0.667 0.500
9 Au 0.667 0.333 0.500
10 Cl 0.169 0.831 0.000
11 Cl 0.500 0.500 0.000
12 Cl 0.831 0.169 0.000

Calculated values
As for the density of states at the Fermi level: 0.0000 states/eV per atom. Its total energy is -33.83 eV for the cell shown. The calculation puts the total magnetization at 0.01 μB per atom.